Record 1
A relaxed ZnSb crystal, computed with PBE.

Structure (CIF):
```
data_ZnSb
_chemical_formula_sum 'Zn6 Sb6'
_symmetry_space_group_name_H-M 'P 63/m'
_symmetry_Int_Tables_number 176
_symmetry_space_group_name_Hall '-P 6c'
_cell_length_a 9.3505
_cell_length_b 9.3505
_cell_length_c 4.7332
_cell_angle_alpha 90.00
_cell_angle_beta 90.00
_cell_angle_gamma 120.00
loop_
_atom_site_label
_atom_site_type_symbol
_atom_site_fract_x
_atom_site_fract_y
_atom_site_fract_z
_atom_site_occupancy
Zn1 Zn 0.1677 0.4830 0.2500 1
Sb1 Sb 0.0094 0.3548 0.7500 1
```

Summary:
Crystal system: hexagonal
Electronic total energy, eV/atom: -2.51
Uncorrected formation energy, kJ per mole of atoms: 18.42

***

Record 2
A relaxed GdTm2Sn crystal, computed with PBE.

Structure (CIF):
```
data_GdTm2Sn
_chemical_formula_sum 'Gd4 Tm8 Sn4'
_symmetry_space_group_name_H-M 'F m -3 m'
_symmetry_Int_Tables_number 225
_symmetry_space_group_name_Hall '-F 4 2 3'
_cell_length_a 7.580
_cell_length_b 7.580
_cell_length_c 7.580
_cell_angle_alpha 90.00
_cell_angle_beta 90.00
_cell_angle_gamma 90.00
loop_
_atom_site_label
_atom_site_type_symbol
_atom_site_fract_x
_atom_site_fract_y
_atom_site_fract_z
_atom_site_occupancy
Gd1 Gd 0.000 0.000 0.000 1
Tm1 Tm 0.250 0.250 0.250 1
Sn1 Sn 0.000 0.000 0.500 1
```

Summary:
Excess energy over the best structure of this formula in the dataset, eV/atom: 0.192
Crystal system: cubic
ΔH_f (0 K), eV/f.u.: -0.89
Electronic total energy, eV/atom: -6.98

***

Record 3
A relaxed Y2ScTe2 crystal, computed with PBE.

Structure (CIF):
```
data_Y2ScTe2
_chemical_formula_sum 'Y4 Sc2 Te4'
_symmetry_space_group_name_H-M 'P 4/m b m'
_symmetry_Int_Tables_number 127
_symmetry_space_group_name_Hall '-P 4 2ab'
_cell_length_a 8.144
_cell_length_b 8.144
_cell_length_c 4.018
_cell_angle_alpha 90.00
_cell_angle_beta 90.00
_cell_angle_gamma 90.00
loop_
_atom_site_label
_atom_site_type_symbol
_atom_site_fract_x
_atom_site_fract_y
_atom_site_fract_z
_atom_site_occupancy
Y1 Y 0.153 0.347 0.000 1
Sc1 Sc 0.000 0.000 0.500 1
Te1 Te 0.150 0.650 0.500 1
```

Summary:
Crystal system: tetragonal
Electronic total energy, eV/atom: -6.09
Uncorrected formation energy, kJ per mole of atoms: -94.84

***

Record 4
A relaxed Tb3Pr3Ho5 crystal, computed with PBE.

Structure (CIF):
```
data_Tb3Pr3Ho5
_chemical_formula_sum 'Tb3 Pr3 Ho5'
_symmetry_space_group_name_H-M 'P -6 2 m'
_symmetry_Int_Tables_number 189
_symmetry_space_group_name_Hall 'P -6 -2'
_cell_length_a 9.6538
_cell_length_b 9.6538
_cell_length_c 5.4718
_cell_angle_alpha 90.00
_cell_angle_beta 90.00
_cell_angle_gamma 120.00
loop_
_atom_site_label
_atom_site_type_symbol
_atom_site_fract_x
_atom_site_fract_y
_atom_site_fract_z
_atom_site_occupancy
Tb1 Tb 0.0000 0.5393 0.0000 1
Pr1 Pr 0.0000 0.3649 0.5000 1
Ho1 Ho 0.0000 0.7315 0.5000 1
Ho2 Ho 0.3333 0.6667 0.5000 1
```

Summary:
Crystal system: hexagonal
ΔH_f (0 K), eV/f.u.: 8.78
Electronic total energy, eV/atom: -3.85

***

Record 5
A relaxed NdY4Te6 crystal, computed with PBE.

Structure (CIF):
```
data_NdY4Te6
_chemical_formula_sum 'Nd4 Y16 Te24'
_symmetry_space_group_name_H-M 'C m c m'
_symmetry_Int_Tables_number 63
_symmetry_space_group_name_Hall '-C 2c 2'
_cell_length_a 4.305
_cell_length_b 14.331
_cell_length_c 22.330
_cell_angle_alpha 90.00
_cell_angle_beta 90.00
_cell_angle_gamma 90.00
loop_
_atom_site_label
_atom_site_type_symbol
_atom_site_fract_x
_atom_site_fract_y
_atom_site_fract_z
_atom_site_occupancy
Nd1 Nd 0.000 0.154 0.250 1
Y1 Y 0.000 0.089 0.625 1
Y2 Y 0.000 0.356 0.535 1
Te1 Te 0.000 0.000 0.000 1
Te2 Te 0.000 0.182 0.750 1
Te3 Te 0.000 0.266 0.093 1
Te4 Te 0.000 0.447 0.663 1
```

Summary:
Crystal system: orthorhombic
Electronic total energy, eV/atom: -5.89
Uncorrected formation energy, kJ per mole of atoms: -134.57

***

Record 6
A relaxed LiTb3Al2 crystal, computed with PBE.

Structure (CIF):
```
data_LiTb3Al2
_chemical_formula_sum 'Li2 Tb6 Al4'
_symmetry_space_group_name_H-M 'P -3 m 1'
_symmetry_Int_Tables_number 164
_symmetry_space_group_name_Hall '-P 3 2"'
_cell_length_a 5.1470
_cell_length_b 5.1470
_cell_length_c 12.6564
_cell_angle_alpha 90.00
_cell_angle_beta 90.00
_cell_angle_gamma 120.00
loop_
_atom_site_label
_atom_site_type_symbol
_atom_site_fract_x
_atom_site_fract_y
_atom_site_fract_z
_atom_site_occupancy
Li1 Li 0.3333 0.6667 0.1698 1
Tb1 Tb 0.0000 0.0000 0.2537 1
Tb2 Tb 0.3333 0.6667 0.4180 1
Tb3 Tb 0.3333 0.6667 0.9155 1
Al1 Al 0.0000 0.0000 0.0000 1
Al2 Al 0.0000 0.0000 0.5000 1
Al3 Al 0.3333 0.6667 0.6718 1
```

Summary:
Excess energy over the best structure of this formula in the dataset, eV/atom: 0.000
Crystal system: trigonal
ΔH_f (0 K), eV/f.u.: -1.68
Electronic total energy, eV/atom: -4.16

***

Record 7
A relaxed Re3SiB crystal, computed with PBE.

Structure (CIF):
```
data_Re3SiB
_chemical_formula_sum 'Re3 Si1 B1'
_symmetry_space_group_name_H-M 'P m -3 m'
_symmetry_Int_Tables_number 221
_symmetry_space_group_name_Hall '-P 4 2 3'
_cell_length_a 4.095
_cell_length_b 4.095
_cell_length_c 4.095
_cell_angle_alpha 90.00
_cell_angle_beta 90.00
_cell_angle_gamma 90.00
loop_
_atom_site_label
_atom_site_type_symbol
_atom_site_fract_x
_atom_site_fract_y
_atom_site_fract_z
_atom_site_occupancy
Re1 Re 0.000 0.000 0.500 1
Si1 Si 0.500 0.500 0.500 1
B1 B 0.000 0.000 0.000 1
```

Summary:
Excess energy over the best structure of this formula in the dataset, eV/atom: 0.000
Crystal system: cubic
Electronic total energy, eV/atom: -9.44
Uncorrected formation energy, kJ per mole of atoms: 43.58

***

Record 8
A relaxed Ac6Sb3As2Cl crystal, computed with PBE.

Structure (CIF):
```
data_Ac6Sb3As2Cl
_chemical_formula_sum 'Ac12 Sb6 As4 Cl2'
_symmetry_space_group_name_H-M 'C 1 2/m 1'
_symmetry_Int_Tables_number 12
_cell_length_a 20.252
_cell_length_b 4.662
_cell_length_c 9.294
_cell_angle_alpha 90.00
_cell_angle_beta 102.63
_cell_angle_gamma 90.00
loop_
_symmetry_equiv_pos_as_xyz
'x,y,z'
'-x,-y,-z'
'-x,y,-z'
'x,-y,z'
'x+1/2,y+1/2,z'
'-x+1/2,-y+1/2,-z'
'-x+1/2,y+1/2,-z'
'x+1/2,-y+1/2,z'
loop_
_atom_site_label
_atom_site_type_symbol
_atom_site_fract_x
_atom_site_fract_y
_atom_site_fract_z
_atom_site_occupancy
Ac1 Ac 0.006 0.000 0.258 1
Ac2 Ac 0.171 0.500 0.098 1
Ac3 Ac 0.171 0.500 0.575 1
Sb1 Sb 0.000 0.500 0.500 1
Sb2 Sb 0.162 0.000 0.835 1
As1 As 0.166 0.000 0.331 1
Cl1 Cl 0.000 0.500 0.000 1
```

Summary:
Crystal system: monoclinic
Electronic total energy, eV/atom: -5.39
Uncorrected formation energy, kJ per mole of atoms: -132.34

***

Record 9
A relaxed CsSc2Bi crystal, computed with PBE.

Structure (CIF):
```
data_CsSc2Bi
_chemical_formula_sum 'Cs3 Sc6 Bi3'
_symmetry_space_group_name_H-M 'R -3 m'
_symmetry_Int_Tables_number 166
_symmetry_space_group_name_Hall '-R 3 2"'
_cell_length_a 3.5211
_cell_length_b 3.5211
_cell_length_c 38.6308
_cell_angle_alpha 90.00
_cell_angle_beta 90.00
_cell_angle_gamma 120.00
loop_
_atom_site_label
_atom_site_type_symbol
_atom_site_fract_x
_atom_site_fract_y
_atom_site_fract_z
_atom_site_occupancy
Cs1 Cs 0.0000 0.0000 0.0000 1
Sc1 Sc 0.0000 0.0000 0.4235 1
Bi1 Bi 0.0000 0.0000 0.5000 1
```

Summary:
Crystal system: trigonal
ΔH_f (0 K), eV/f.u.: 2.11
Electronic total energy, eV/atom: -3.82

***

Record 10
A relaxed ThCd4Hg2 crystal, computed with PBE.

Structure (CIF):
```
data_ThCd4Hg2
_chemical_formula_sum 'Th1 Cd4 Hg2'
_symmetry_space_group_name_H-M 'P -1'
_symmetry_Int_Tables_number 2
_cell_length_a 5.490
_cell_length_b 6.074
_cell_length_c 6.233
_cell_angle_alpha 105.65
_cell_angle_beta 100.52
_cell_angle_gamma 108.07
loop_
_symmetry_equiv_pos_as_xyz
'x,y,z'
'-x,-y,-z'
loop_
_atom_site_label
_atom_site_type_symbol
_atom_site_fract_x
_atom_site_fract_y
_atom_site_fract_z
_atom_site_occupancy
Th1 Th 0.000 0.000 0.000 1
Cd1 Cd 0.023 0.591 0.286 1
Cd2 Cd 0.500 0.500 0.000 1
Cd3 Cd 0.500 0.500 0.500 1
Hg1 Hg 0.425 0.987 0.719 1
```

Summary:
Excess energy over the best structure of this formula in the dataset, eV/atom: 0.110
Crystal system: triclinic
ΔH_f (0 K), eV/f.u.: 0.15
Electronic total energy, eV/atom: -1.65

***

Record 11
A relaxed Ba3Li2La2Tl4 crystal, computed with PBE.

Structure (CIF):
```
data_Ba3Li2La2Tl4
_chemical_formula_sum 'Ba3 Li2 La2 Tl4'
_symmetry_space_group_name_H-M 'P -3 m 1'
_symmetry_Int_Tables_number 164
_symmetry_space_group_name_Hall '-P 3 2"'
_cell_length_a 5.5111
_cell_length_b 5.5111
_cell_length_c 15.2540
_cell_angle_alpha 90.00
_cell_angle_beta 90.00
_cell_angle_gamma 120.00
loop_
_atom_site_label
_atom_site_type_symbol
_atom_site_fract_x
_atom_site_fract_y
_atom_site_fract_z
_atom_site_occupancy
Ba1 Ba 0.0000 0.0000 0.0000 1
Ba2 Ba 0.0000 0.0000 0.2558 1
Li1 Li 0.3333 0.6667 0.1481 1
La1 La 0.3333 0.6667 0.5708 1
Tl1 Tl 0.3333 0.6667 0.3591 1
Tl2 Tl 0.3333 0.6667 0.8618 1
```

Summary:
Crystal system: trigonal
ΔH_f (0 K), eV/f.u.: -1.94
Electronic total energy, eV/atom: -2.81

***

Record 12
A relaxed Pm4Ho5Tl crystal, computed with PBE.

Structure (CIF):
```
data_Pm4Ho5Tl
_chemical_formula_sum 'Pm4 Ho5 Tl1'
_symmetry_space_group_name_H-M 'P 4/m m m'
_symmetry_Int_Tables_number 123
_symmetry_space_group_name_Hall '-P 4 2'
_cell_length_a 4.141
_cell_length_b 4.141
_cell_length_c 18.338
_cell_angle_alpha 90.00
_cell_angle_beta 90.00
_cell_angle_gamma 90.00
loop_
_atom_site_label
_atom_site_type_symbol
_atom_site_fract_x
_atom_site_fract_y
_atom_site_fract_z
_atom_site_occupancy
Pm1 Pm 0.000 0.000 0.102 1
Pm2 Pm 0.000 0.000 0.303 1
Ho1 Ho 0.500 0.500 0.000 1
Ho2 Ho 0.500 0.500 0.207 1
Ho3 Ho 0.500 0.500 0.412 1
Tl1 Tl 0.000 0.000 0.500 1
```

Summary:
Excess energy over the best structure of this formula in the dataset, eV/atom: 0.000
Crystal system: tetragonal
ΔH_f (0 K), eV/f.u.: 0.35
Electronic total energy, eV/atom: -4.39